(1)
First-principles (PBE) data for a relaxed Ac2InH2O6 crystal, as listed in the Alexandria database.

Results
As for the total energy: -67.24 eV per formula unit.

Cell: 5.3212 5.3212 16.3040 Å, 90.00 90.00 120.00°
Space group R-3m (No. 166, hexagonal axes)
Inequivalent atoms, fractional coordinates:
Ac (0.0000, 0.0000, 0.2272) x6
In (0.0000, 0.0000, 0.0000) x3
H (0.0000, 0.0000, 0.4215) x6
O (0.0172, 0.5086, 0.2456) x18


(2)
First-principles (PBE) data for a relaxed AcInHPt crystal, as listed in the Alexandria database.

Results
As for the total energy: -19.04 eV per formula unit.

Cell: 4.452 4.452 8.379 Å, 90.00 90.00 90.00°
Space group P4/nmm (No. 129, origin choice 2)
Inequivalent atoms, fractional coordinates:
Ac (0.250, 0.250, 0.145) x2
In (0.250, 0.750, 0.500) x2
H (0.250, 0.750, 0.000) x2
Pt (0.250, 0.250, 0.702) x2


(3)
First-principles (PBE) data for a relaxed Ac4InHPt2 crystal, as listed in the Alexandria database.

Results
As for the total energy: -40.90 eV per formula unit.

Cell: 4.391 14.733 15.468 Å, 90.00 90.00 90.00°
Space group Cmcm (No. 63)
Inequivalent atoms, fractional coordinates:
Ac (0.000, 0.000, 0.000) x4
Ac (0.000, 0.267, 0.114) x8
Ac (0.000, 0.422, 0.750) x4
In (0.000, 0.110, 0.750) x4
H (0.000, 0.165, 0.250) x4
Pt (0.000, 0.367, 0.560) x8